Record 1
Rb2In2Sn (PBE, relaxed); relative energy among the computed polymorphs = 41 meV/atom; DOS(E_F) = 0.49 states/eV/atom; space group = Cmcm, No. 63
1.0
7.267 -0.274 0.000
-1.905 7.018 0.000
0.000 0.000 8.715
In Rb Sn
4 4 2
Direct
0.652 0.652 0.590 In
0.348 0.348 0.410 In
0.652 0.652 0.910 In
0.348 0.348 0.090 In
0.195 0.805 0.000 Rb
0.805 0.195 0.000 Rb
0.805 0.195 0.500 Rb
0.195 0.805 0.500 Rb
0.692 0.692 0.250 Sn
0.308 0.308 0.750 Sn

Record 2
Rb2InSn5 (PBE, relaxed); relative energy among the computed polymorphs = 0 meV/atom; DOS(E_F) = 0.58 states/eV/atom; space group = I4mm, No. 107
1.0
-5.763 -0.039 -3.331
-0.766 -6.461 1.406
-0.052 4.887 6.679
Sn In Rb
5 1 2
Direct
0.249 0.249 0.944 Sn
0.695 0.249 0.944 Sn
0.249 0.695 0.944 Sn
0.851 0.851 0.703 Sn
0.695 0.695 0.944 Sn
0.094 0.094 0.188 In
0.722 0.222 0.443 Rb
0.222 0.722 0.443 Rb

Record 3
Rb3In3Sn8 (PBE, relaxed); DOS(E_F) = 0.44 states/eV/atom; space group = Immm, No. 71
1.0
4.652 0.000 1.229
1.939 9.825 2.079
-0.213 -0.135 10.225
Rb Sn In
3 8 3
Direct
0.219 0.781 0.781 Rb
0.781 0.219 0.219 Rb
0.500 0.500 0.500 Rb
0.661 0.045 0.633 Sn
0.339 0.367 0.955 Sn
0.134 0.208 0.524 Sn
0.134 0.524 0.208 Sn
0.339 0.955 0.367 Sn
0.866 0.476 0.792 Sn
0.866 0.792 0.476 Sn
0.661 0.633 0.045 Sn
0.000 0.159 0.841 In
0.500 0.000 0.000 In
0.000 0.841 0.159 In

Record 4
RbIn2Sn (PBE, relaxed); DOS(E_F) = 0.65 states/eV/atom; space group = R-3m, No. 166
1.0
4.797 0.000 0.000
2.398 4.154 0.000
2.398 1.385 9.655
In Sn Rb
2 1 1
Direct
0.876 0.876 0.373 In
0.124 0.124 0.627 In
0.500 0.500 0.500 Sn
0.000 0.000 0.000 Rb

Record 5
RbIn5Sn (PBE, relaxed); DOS(E_F) = 0.55 states/eV/atom; space group = P4/mmm, No. 123
1.0
-4.040 1.700 1.184
-1.576 -0.840 -4.174
-3.372 -10.350 3.357
In Sn Rb
5 1 1
Direct
0.500 0.000 0.775 In
0.500 0.500 0.000 In
0.000 0.500 0.225 In
0.500 0.000 0.225 In
0.000 0.500 0.775 In
0.000 0.000 0.000 Sn
0.000 0.000 0.500 Rb

Record 6
Rb3InSn (PBE, relaxed); relative energy among the computed polymorphs = 0 meV/atom; DOS(E_F) = 0.86 states/eV/atom; space group = C2/m, No. 12
1.0
9.579 -0.101 0.019
-2.718 9.186 -0.019
-3.857 -4.220 6.093
Sn Rb In
2 6 2
Direct
0.389 0.870 0.259 Sn
0.611 0.130 0.741 Sn
0.831 0.585 0.813 Rb
0.272 0.496 0.768 Rb
0.228 0.983 0.813 Rb
0.169 0.415 0.187 Rb
0.728 0.504 0.232 Rb
0.772 0.017 0.187 Rb
0.283 0.120 0.403 In
0.717 0.880 0.597 In

Record 7
RbIn4Sn6 (PBE, relaxed); DOS(E_F) = 0.37 states/eV/atom; space group = P-6m2, No. 187
1.0
5.060 0.000 0.000
0.000 8.790 0.000
0.000 -4.395 7.613
Sn In Rb
6 4 1
Direct
0.500 0.206 0.412 Sn
0.500 0.588 0.794 Sn
0.000 0.932 0.466 Sn
0.000 0.534 0.466 Sn
0.500 0.206 0.794 Sn
0.000 0.534 0.068 Sn
0.500 0.795 0.591 In
0.000 0.333 0.667 In
0.500 0.409 0.205 In
0.500 0.795 0.205 In
0.000 0.000 0.000 Rb

Record 8
RbIn2Sn6 (PBE, relaxed); relative energy among the computed polymorphs = 49 meV/atom; DOS(E_F) = 0.40 states/eV/atom; space group = C2/c, No. 15
1.0
3.527 0.758 2.636
2.628 12.625 0.398
-3.198 -1.871 12.358
Sn In Rb
12 4 2
Direct
0.459 0.342 0.447 Sn
0.869 0.969 0.411 Sn
0.131 0.031 0.589 Sn
0.959 0.447 0.342 Sn
0.047 0.153 0.056 Sn
0.547 0.056 0.153 Sn
0.631 0.589 0.031 Sn
0.041 0.553 0.658 Sn
0.541 0.658 0.553 Sn
0.453 0.944 0.847 Sn
0.369 0.411 0.969 Sn
0.953 0.847 0.944 Sn
0.321 0.591 0.841 In
0.679 0.409 0.159 In
0.821 0.841 0.591 In
0.179 0.159 0.409 In
0.250 0.263 0.737 Rb
0.750 0.737 0.263 Rb

Record 9
RbIn4Sn (PBE, relaxed); relative energy among the computed polymorphs = 17 meV/atom; DOS(E_F) = 0.47 states/eV/atom; space group = Cmcm, No. 63
1.0
-2.967 0.738 -3.959
4.029 -3.519 -3.676
-4.872 -10.625 4.831
In Rb Sn
8 2 2
Direct
0.781 0.988 0.561 In
0.456 0.250 0.912 In
0.544 0.750 0.088 In
0.781 0.512 0.561 In
0.219 0.488 0.439 In
0.000 0.000 0.000 In
0.000 0.500 0.000 In
0.219 0.012 0.439 In
0.619 0.250 0.238 Rb
0.381 0.750 0.762 Rb
0.120 0.750 0.240 Sn
0.880 0.250 0.760 Sn

Record 10
RbInSn5 (PBE, relaxed); DOS(E_F) = 0.36 states/eV/atom; space group = P4/mmm, No. 123
1.0
-0.553 5.223 1.985
1.760 -1.730 5.043
7.944 1.677 -2.198
Sn Rb In
5 1 1
Direct
0.500 0.500 0.000 Sn
0.000 0.500 0.177 Sn
0.500 0.000 0.823 Sn
0.500 0.000 0.177 Sn
0.000 0.500 0.823 Sn
0.000 0.000 0.500 Rb
0.000 0.000 0.000 In

Record 11
RbInSn3 (PBE, relaxed); relative energy among the computed polymorphs = 76 meV/atom; DOS(E_F) = 0.35 states/eV/atom; space group = P1, No. 1
1.0
6.975 0.000 0.003
0.000 6.939 0.002
0.003 0.004 6.887
Rb Sn In
2 6 2
Direct
0.470 0.424 0.701 Rb
0.970 0.929 0.201 Rb
0.828 0.080 0.701 Sn
0.328 0.273 0.201 Sn
0.477 0.923 0.450 Sn
0.477 0.923 0.952 Sn
0.977 0.430 0.950 Sn
0.977 0.430 0.452 Sn
0.626 0.570 0.200 In
0.126 0.783 0.701 In

Record 12
Rb2In2Sn (PBE, relaxed); relative energy among the computed polymorphs = 0 meV/atom; DOS(E_F) = 0.41 states/eV/atom; space group = C2/m, No. 12
1.0
-0.681 -5.025 -7.439
-5.617 -5.518 -1.206
-4.593 4.205 -4.614
Rb Sn In
4 2 4
Direct
0.519 0.332 0.742 Rb
0.481 0.668 0.258 Rb
0.149 0.332 0.258 Rb
0.851 0.668 0.742 Rb
0.114 0.773 0.000 Sn
0.886 0.227 0.000 Sn
0.909 0.000 0.369 In
0.685 0.000 0.146 In
0.091 0.000 0.631 In
0.315 0.000 0.854 In

Record 13
Rb2InSn3 (PBE, relaxed); relative energy among the computed polymorphs = 34 meV/atom; DOS(E_F) = 0.47 states/eV/atom; space group = Fmmm, No. 69
1.0
-2.342 -7.271 0.903
1.782 1.686 7.290
-7.672 5.517 -2.783
Sn Rb In
6 4 2
Direct
0.168 0.168 0.832 Sn
0.833 0.833 0.666 Sn
0.664 0.664 0.832 Sn
0.832 0.832 0.168 Sn
0.167 0.167 0.334 Sn
0.336 0.336 0.168 Sn
0.250 0.750 0.500 Rb
0.753 0.247 0.000 Rb
0.247 0.753 0.000 Rb
0.750 0.250 0.500 Rb
0.333 0.333 0.667 In
0.667 0.667 0.333 In

Record 14
RbIn4Sn4 (PBE, relaxed); DOS(E_F) = 0.58 states/eV/atom; space group = P4_2/nmc, No. 137
1.0
-5.762 -5.051 0.284
2.819 -3.563 -6.177
5.568 -6.013 6.010
Sn In Rb
8 8 2
Direct
0.500 0.202 0.847 Sn
0.000 0.298 0.653 Sn
0.798 0.500 0.153 Sn
0.298 0.000 0.347 Sn
0.202 0.500 0.153 Sn
0.000 0.702 0.653 Sn
0.702 0.000 0.347 Sn
0.500 0.798 0.847 Sn
0.272 0.000 0.645 In
0.228 0.500 0.855 In
0.728 0.000 0.645 In
0.772 0.500 0.855 In
0.000 0.272 0.355 In
0.000 0.728 0.355 In
0.500 0.772 0.145 In
0.500 0.228 0.145 In
0.500 0.500 0.500 Rb
0.000 0.000 0.000 Rb

Record 15
Rb2InSn10 (PBE, relaxed); DOS(E_F) = 0.31 states/eV/atom; space group = Pbam, No. 55
1.0
6.575 0.000 0.000
0.000 11.737 0.000
0.000 0.000 13.895
Sn Rb In
20 4 2
Direct
0.267 0.810 0.912 Sn
0.733 0.810 0.912 Sn
0.000 0.864 0.514 Sn
0.000 0.879 0.743 Sn
0.267 0.190 0.088 Sn
0.000 0.121 0.257 Sn
0.000 0.869 0.297 Sn
0.000 0.131 0.703 Sn
0.000 0.364 0.986 Sn
0.000 0.379 0.757 Sn
0.733 0.310 0.588 Sn
0.000 0.136 0.486 Sn
0.733 0.190 0.088 Sn
0.000 0.369 0.203 Sn
0.267 0.690 0.412 Sn
0.000 0.621 0.243 Sn
0.000 0.631 0.797 Sn
0.733 0.690 0.412 Sn
0.000 0.636 0.014 Sn
0.267 0.310 0.588 Sn
0.500 0.355 0.335 Rb
0.500 0.855 0.165 Rb
0.500 0.645 0.665 Rb
0.500 0.145 0.835 Rb
0.000 0.000 0.000 In
0.000 0.500 0.500 In

Record 16
RbIn4Sn3 (PBE, relaxed); DOS(E_F) = 0.56 states/eV/atom; space group = P4/mmm, No. 123
1.0
-0.723 -4.906 -2.432
5.208 -1.374 1.222
-2.603 -3.284 7.400
In Rb Sn
4 1 3
Direct
0.500 0.000 0.181 In
0.000 0.500 0.819 In
0.500 0.000 0.819 In
0.000 0.500 0.181 In
0.000 0.000 0.500 Rb
0.000 0.000 0.000 Sn
0.500 0.500 0.673 Sn
0.500 0.500 0.327 Sn

Record 17
Rb3In7Sn4 (PBE, relaxed); DOS(E_F) = 0.33 states/eV/atom; space group = C2/m, No. 12
1.0
4.951 0.000 1.249
1.805 8.941 3.281
0.052 0.052 10.229
In Rb Sn
7 3 4
Direct
0.844 0.375 0.938 In
0.506 0.191 0.797 In
0.674 0.192 0.460 In
0.156 0.625 0.062 In
0.326 0.808 0.540 In
0.494 0.809 0.203 In
0.000 0.000 0.000 In
0.306 0.196 0.191 Rb
0.694 0.804 0.809 Rb
0.000 0.500 0.500 Rb
0.653 0.482 0.212 Sn
0.347 0.518 0.788 Sn
0.861 0.913 0.366 Sn
0.139 0.087 0.634 Sn

Record 18
RbInSn (PBE, relaxed); DOS(E_F) = 0.38 states/eV/atom; space group = Cm, No. 8
1.0
14.026 0.000 0.010
6.978 2.165 -3.945
-6.978 2.165 3.945
Rb In Sn
2 2 2
Direct
0.312 0.915 0.085 Rb
0.640 0.917 0.083 Rb
0.867 0.411 0.589 In
0.769 0.125 0.875 In
0.091 0.413 0.587 Sn
0.183 0.715 0.285 Sn

Record 19
RbIn3Sn3 (PBE, relaxed); relative energy among the computed polymorphs = 0 meV/atom; DOS(E_F) = 0.39 states/eV/atom; space group = R-3, No. 148
1.0
-1.953 -3.822 -6.504
0.695 -7.755 -0.320
-8.907 -4.746 0.796
Sn In Rb
6 6 2
Direct
0.280 0.141 0.755 Sn
0.859 0.176 0.245 Sn
0.720 0.859 0.245 Sn
0.141 0.824 0.755 Sn
0.824 0.280 0.755 Sn
0.176 0.720 0.245 Sn
0.589 0.748 0.592 In
0.411 0.252 0.408 In
0.748 0.071 0.592 In
0.071 0.589 0.592 In
0.929 0.411 0.408 In
0.252 0.929 0.408 In
0.676 0.676 0.971 Rb
0.324 0.324 0.029 Rb

Record 20
RbInSn (PBE, relaxed); DOS(E_F) = 0.17 states/eV/atom; space group = P3m1, No. 156
1.0
5.921 0.000 0.000
0.000 4.915 0.000
0.000 -2.457 4.256
Sn In Rb
1 1 1
Direct
0.186 0.333 0.667 Sn
0.148 0.000 0.000 In
0.666 0.667 0.333 Rb

| no. | E_form (meV/atom) |
| --- | --- |
| 1 | -53 |
| 2 | -109 |
| 3 | -112 |
| 4 | 111 |
| 5 | -18 |
| 6 | -29 |
| 7 | 9 |
| 8 | 35 |
| 9 | -29 |
| 10 | 1 |
| 11 | -66 |
| 12 | -95 |
| 13 | -133 |
| 14 | -12 |
| 15 | 24 |
| 16 | -60 |
| 17 | -116 |
| 18 | -166 |
| 19 | -22 |
| 20 | -180 |